An optimized crystal structure of Zn2SiTe, computed with GGA-PBE.

```
Zn2SiTe
1.0
3.6640 0.0000 0.0000
0.0000 3.6640 0.0000
0.0000 0.0000 5.8598
Zn Si Te
2 1 1
direct
0.0000 0.0000 0.2196
0.0000 0.0000 0.7804
0.5000 0.5000 0.0000
0.5000 0.5000 0.5000
```

Values from the calculation:
The calculation puts the density of states at the Fermi level at 1.770 states/eV/cell. The total energy comes out at -2.439 eV per atom. As for the formation energy from raw total energies: 339 meV/atom.


An optimized crystal structure of NaGdTmTl, computed with GGA-PBE.

```
NaGdTmTl
1.0
7.6276 0.0000 0.0000
0.0000 7.6276 0.0000
0.0000 0.0000 7.6276
Na Gd Tm Tl
4 4 4 4
direct
0.0000 0.0000 0.0000
0.0000 0.5000 0.5000
0.5000 0.0000 0.5000
0.5000 0.5000 0.0000
0.2500 0.2500 0.7500
0.2500 0.7500 0.2500
0.7500 0.2500 0.2500
0.7500 0.7500 0.7500
0.2500 0.2500 0.2500
0.2500 0.7500 0.7500
0.7500 0.2500 0.7500
0.7500 0.7500 0.2500
0.0000 0.0000 0.5000
0.0000 0.5000 0.0000
0.5000 0.0000 0.0000
0.5000 0.5000 0.5000
```

Values from the calculation:
The calculation puts the density of states at the Fermi level at 15.753 states/eV/cell. The total energy comes out at -5.608 eV per atom. The energy of formation from the pure elements is -0.049 eV/atom.


An optimized crystal structure of Ba3P, computed with GGA-PBE.

```
Ba3P
1.0
7.9048 0.0000 0.0000
-3.9524 6.8458 0.0000
0.0000 0.0000 5.5157
Ba P
6 2
direct
0.1845 0.3691 0.2500
0.1845 0.8155 0.2500
0.3691 0.1845 0.7500
0.6309 0.8155 0.2500
0.8155 0.1845 0.7500
0.8155 0.6309 0.7500
0.3333 0.6667 0.7500
0.6667 0.3333 0.2500
```

Values from the calculation:
The calculation puts the density of states at the Fermi level at 8.496 states/eV/cell. The total energy comes out at -3.055 eV per atom. The energy of formation from the pure elements is -0.261 eV/atom.


An optimized crystal structure of Na2O, computed with GGA-PBE.

```
Na2O
1.0
5.2893 0.0000 0.0000
0.0000 5.3063 0.0000
0.0000 0.0000 3.6504
Na O
4 2
direct
0.1893 0.1935 0.0000
0.3107 0.6935 0.5000
0.6893 0.3065 0.5000
0.8107 0.8065 0.0000
0.0000 0.0000 0.5000
0.5000 0.5000 0.0000
```

Values from the calculation:
The total energy comes out at -3.705 eV per atom. As for the formation energy from raw total energies: -1173 meV/atom.


An optimized crystal structure of Li2HgAsH, computed with GGA-PBE.

```
Li2HgAsH
1.0
4.3569 0.0000 0.0000
0.0000 4.3569 0.0000
0.0000 0.0000 3.8909
Li Hg As H
2 1 1 1
direct
0.0000 0.5000 0.0000
0.5000 0.0000 0.0000
0.0000 0.0000 0.5000
0.5000 0.5000 0.5000
0.5000 0.5000 0.0000
```

Values from the calculation:
The calculation puts the density of states at the Fermi level at 0.891 states/eV/cell. The total energy comes out at -2.616 eV per atom.


An optimized crystal structure of Ac4AgSn3, computed with GGA-PBE.

```
Ac4AgSn3
1.0
4.6956 0.0000 0.0000
0.0000 4.8314 0.0000
0.0000 0.0000 12.3463
Ac Ag Sn
4 1 3
direct
0.0000 0.0000 0.0000
0.0000 0.5000 0.4912
0.5000 0.0000 0.7168
0.5000 0.5000 0.2211
0.0000 0.0000 0.2829
0.0000 0.5000 0.7722
0.5000 0.0000 0.4338
0.5000 0.5000 0.9409
```

Values from the calculation:
The calculation puts the density of states at the Fermi level at 7.186 states/eV/cell. The total energy comes out at -4.505 eV per atom. The energy of formation from the pure elements is -0.593 eV/atom.